Record 1
# PBE-GGA CaPrGaO4, optimized geometry
# - Formation energy (no corrections): -17.64 eV per formula unit
# - Uncorrected energy: -6.755 eV per atom
data_CaPrGaO4
_cell_length_a 6.4902
_cell_length_b 6.6298
_cell_length_c 6.6298
_cell_angle_alpha 61.83
_cell_angle_beta 60.69
_cell_angle_gamma 60.69
_space_group_name_H-M_alt 'P 1'
_space_group_IT_number 1
loop_
_space_group_symop_operation_xyz
'x,y,z'
loop_
_atom_site_label
_atom_site_fract_x
_atom_site_fract_y
_atom_site_fract_z
O1 0.2559 0.2534 0.7534
O2 0.7434 0.7445 0.7688
O3 0.7434 0.2688 0.2445
Ca1 0.0000 0.0000 0.5000
O4 0.2627 0.7466 0.2466
Ga1 0.3716 0.3784 0.8784
O5 0.2566 0.2555 0.2312
Ga2 0.6284 0.6216 0.1216
Ca2 0.5000 0.0000 0.5000
Pr1 0.0000 0.5000 0.5000
O6 0.2566 0.7312 0.7555
O7 0.7373 0.2534 0.7534
Pr2 0.0000 0.0000 0.0000
O8 0.7441 0.7466 0.2466



Record 2
# PBE-GGA Ca2PrGaO, optimized geometry
# - Formation energy (no corrections): -6.90 eV per formula unit
# - Uncorrected energy: -4.734 eV per atom
data_Ca2PrGaO
_cell_length_a 5.0458
_cell_length_b 4.7614
_cell_length_c 4.7614
_cell_angle_alpha 90.00
_cell_angle_beta 90.00
_cell_angle_gamma 90.00
_space_group_name_H-M_alt 'P 1'
_space_group_IT_number 1
loop_
_space_group_symop_operation_xyz
'x,y,z'
loop_
_atom_site_label
_atom_site_fract_x
_atom_site_fract_y
_atom_site_fract_z
O1 0.0000 0.0000 0.0000
Ca1 0.0000 0.5000 0.0000
Ca2 0.0000 0.0000 0.5000
Ga1 0.5000 0.5000 0.5000
Pr1 0.5000 0.0000 0.0000



Record 3
# PBE-GGA CaPuGa2O8, optimized geometry
# - Formation energy (no corrections): -21.89 eV per formula unit
# - Uncorrected energy: -6.995 eV per atom
data_CaPuGa2O8
_cell_length_a 5.9239
_cell_length_b 5.9239
_cell_length_c 5.9239
_cell_angle_alpha 108.06
_cell_angle_beta 108.06
_cell_angle_gamma 112.32
_space_group_name_H-M_alt 'P 1'
_space_group_IT_number 1
loop_
_space_group_symop_operation_xyz
'x,y,z'
loop_
_atom_site_label
_atom_site_fract_x
_atom_site_fract_y
_atom_site_fract_z
O1 0.9604 0.6351 0.6747
O2 0.3189 0.1138 0.7949
Ca1 0.0000 0.0000 0.0000
O3 0.3189 0.5241 0.2051
O4 0.4759 0.6811 0.7949
O5 0.9604 0.2857 0.3253
Ga1 0.7500 0.2500 0.5000
O6 0.3649 0.0396 0.3253
Ga2 0.5000 0.5000 0.0000
O7 0.7143 0.0396 0.6747
O8 0.8862 0.6811 0.2051
Pu1 0.2500 0.7500 0.5000



Record 4
# PBE-GGA CaPuGaO6, optimized geometry
# - Formation energy (no corrections): -20.86 eV per formula unit
# - Uncorrected energy: -7.775 eV per atom
data_CaPuGaO6
_cell_length_a 5.2753
_cell_length_b 5.2753
_cell_length_c 10.2819
_cell_angle_alpha 90.00
_cell_angle_beta 90.00
_cell_angle_gamma 120.00
_space_group_name_H-M_alt 'P 1'
_space_group_IT_number 1
loop_
_space_group_symop_operation_xyz
'x,y,z'
loop_
_atom_site_label
_atom_site_fract_x
_atom_site_fract_y
_atom_site_fract_z
O1 0.6404 0.6405 0.1425
O2 0.6404 0.9999 0.3575
O3 0.3596 0.3595 0.8575
Ca1 0.0000 0.0000 0.0000
O4 0.6405 0.6404 0.6425
O5 0.9999 0.6404 0.8575
O6 0.3596 0.0001 0.6425
O7 0.9999 0.3595 0.6425
O8 0.3595 0.9999 0.1425
O9 0.6405 0.0001 0.8575
O10 0.0001 0.3596 0.1425
Ca2 0.0000 0.0000 0.5000
Pu1 0.3333 0.6667 0.2500
Pu2 0.6667 0.3333 0.7500
O11 0.3595 0.3596 0.3575
O12 0.0001 0.6405 0.3575
Ga1 0.6667 0.3333 0.2500
Ga2 0.3333 0.6667 0.7500



Q: Among the records above, which one has the highest formation energy (no corrections)?
A: Ca2PrGaO



Q: Which value of formation energy (no corrections) does entry 2 give?
A: -6.90 eV per formula unit